# InRuPb2, relaxed, DFT PBE-GGA
data_InRuPb2
_cell_length_a 9.3269
_cell_length_b 9.3269
_cell_length_c 5.2740
_cell_angle_alpha 90.00
_cell_angle_beta 90.00
_cell_angle_gamma 90.00
_space_group_name_H-M_alt 'I -4 2 d'
_space_group_IT_number 122
_space_group_name_Hall 'I -4 2bw'
loop_
_atom_site_label
_atom_site_type_symbol
_atom_site_fract_x
_atom_site_fract_y
_atom_site_fract_z
_atom_site_occupancy
In1 In 0.0000 0.0000 0.0000 1
Ru1 Ru 0.0000 0.0000 0.5000 1
Pb1 Pb 0.1321 0.2500 0.6250 1
# calculated formation energy = 0.3064 eV/atom